No. 1
Entry from Alexandria: a geometry-optimized K2CrRu structure (PBE).

* ΔE_f: 1714 meV per atom
* polymorph energy (0 for the lowest one): 4.11 eV per formula unit
* DOS at the Fermi energy: 4.164 states/eV/cell

```
K2CrRu
1.0
0.000 3.871 3.871
3.871 0.000 3.871
3.871 3.871 0.000
K Cr Ru
2 1 1
direct
0.250 0.250 0.250 K
0.750 0.750 0.750 K
0.000 0.000 0.000 Cr
0.500 0.500 0.500 Ru
```

No. 2
Entry from Alexandria: a geometry-optimized Sm2Dy17 structure (PBE).

* ΔE_f: 282 meV per atom
* DOS at the Fermi energy: 34.859 states/eV/cell

```
Sm2Dy17
1.0
5.583 3.224 5.861
-5.583 3.224 5.861
0.000 -6.447 5.861
Sm Dy
2 17
direct
0.175 0.175 0.175 Sm
0.825 0.825 0.825 Sm
0.000 0.500 0.500 Dy
0.130 0.130 0.649 Dy
0.130 0.649 0.130 Dy
0.202 0.500 0.798 Dy
0.202 0.798 0.500 Dy
0.351 0.870 0.870 Dy
0.404 0.404 0.404 Dy
0.500 0.000 0.500 Dy
0.500 0.202 0.798 Dy
0.500 0.500 0.000 Dy
0.500 0.798 0.202 Dy
0.596 0.596 0.596 Dy
0.649 0.130 0.130 Dy
0.798 0.202 0.500 Dy
0.798 0.500 0.202 Dy
0.870 0.351 0.870 Dy
0.870 0.870 0.351 Dy
```

Repeat the second record exactly.
Entry from Alexandria: a geometry-optimized Sm2Dy17 structure (PBE).

* ΔE_f: 282 meV per atom
* DOS at the Fermi energy: 34.859 states/eV/cell

```
Sm2Dy17
1.0
5.583 3.224 5.861
-5.583 3.224 5.861
0.000 -6.447 5.861
Sm Dy
2 17
direct
0.175 0.175 0.175 Sm
0.825 0.825 0.825 Sm
0.000 0.500 0.500 Dy
0.130 0.130 0.649 Dy
0.130 0.649 0.130 Dy
0.202 0.500 0.798 Dy
0.202 0.798 0.500 Dy
0.351 0.870 0.870 Dy
0.404 0.404 0.404 Dy
0.500 0.000 0.500 Dy
0.500 0.202 0.798 Dy
0.500 0.500 0.000 Dy
0.500 0.798 0.202 Dy
0.596 0.596 0.596 Dy
0.649 0.130 0.130 Dy
0.798 0.202 0.500 Dy
0.798 0.500 0.202 Dy
0.870 0.351 0.870 Dy
0.870 0.870 0.351 Dy
```